(1)
Material: Cu2BiPd2
Method: DFT, GGA-PBE
State: relaxed

Computed properties:
total magnetization = 0.000 μB per formula unit
theoretical density = 10.97 Mg/m³
energy of formation = -0.047 eV per atom

Cell: 7.2753 7.2753 3.1395 Å, 90.00 90.00 90.00°
Sites, in units of the cell vectors:
Cu 0.6248 0.1248 0.0000
Cu 0.8752 0.6248 0.0000
Cu 0.3752 0.8752 0.0000
Cu 0.1248 0.3752 0.0000
Pd 0.8348 0.3348 0.5000
Pd 0.3348 0.1652 0.5000
Pd 0.6652 0.8348 0.5000
Pd 0.1652 0.6652 0.5000
Bi 0.5000 0.5000 0.0000
Bi 0.0000 0.0000 0.0000

(2)
Material: ZrTc
Method: DFT, GGA-PBE
State: relaxed

Computed properties:
total magnetization = 0.000 μB per formula unit
theoretical density = 8.73 Mg/m³
energy of formation = -0.297 eV per atom

Cell: 5.5818 5.5818 5.5818 Å, 145.86 131.88 60.32°
Sites, in units of the cell vectors:
Zr 0.8666 0.1166 0.2500
Zr 0.1334 0.8834 0.7500
Tc 0.6144 0.3644 0.7500
Tc 0.3856 0.6356 0.2500

(3)
Material: Nd2Y2Er2Tm
Method: DFT, GGA-PBE
State: relaxed

Computed properties:
total magnetization = 0.000 μB per formula unit
theoretical density = 7.00 Mg/m³
energy of formation = 0.087 eV per atom

Cell: 3.5101 6.1248 11.7941 Å, 72.04 90.00 106.65°
Sites, in units of the cell vectors:
Er 0.7711 0.5421 0.3663
Er 0.2289 0.4579 0.6337
Nd 0.6726 0.3453 0.9133
Nd 0.3274 0.6547 0.0867
Tm 0.0000 0.0000 0.5000
Y 0.5481 0.0962 0.2309
Y 0.4519 0.9038 0.7691

(4)
Material: Pm2NiBi
Method: DFT, GGA-PBE
State: relaxed

Computed properties:
total magnetization = 0.000 μB per formula unit
theoretical density = 8.96 Mg/m³
energy of formation = -0.418 eV per atom

Cell: 3.5697 3.5697 8.1067 Å, 90.00 90.00 90.00°
Sites, in units of the cell vectors:
Pm 0.0000 0.0000 0.7936
Pm 0.0000 0.0000 0.2064
Ni 0.5000 0.5000 0.0000
Bi 0.5000 0.5000 0.5000

(5)
Material: Na3GeRh3O8
Method: DFT, GGA-PBE
State: relaxed

Computed properties:
total magnetization = 0.000 μB per formula unit
theoretical density = 5.40 Mg/m³
uncorrected formation energy = -1.25 eV per atom

Cell: 6.1564 6.1561 6.4797 Å, 118.36 90.00 120.00°
Sites, in units of the cell vectors:
O 0.2677 0.5354 0.3032
O 0.7323 0.4646 0.6968
O 0.2199 0.9696 0.6894
O 0.2199 0.4398 0.6894
O 0.2503 0.0304 0.3106
O 0.7497 0.9696 0.6894
O 0.7801 0.5602 0.3106
O 0.7801 0.0304 0.3106
Rh 0.0000 0.5000 0.5000
Rh 0.5000 0.0000 0.5000
Rh 0.5000 0.5000 0.5000
Na 0.0000 0.0000 0.0000
Na 0.5000 0.5000 0.0000
Na 0.0000 0.5000 0.0000
Ge 0.0000 0.0000 0.5000

(6)
Material: Cs3Tm2CdSe6
Method: DFT, GGA-PBE
State: relaxed

Computed properties:
total magnetization = 0.002 μB per formula unit
theoretical density = 5.66 Mg/m³
uncorrected formation energy = -1.30 eV per atom

Cell: 7.3124 7.3124 8.7249 Å, 97.98 97.98 119.97°
Sites, in units of the cell vectors:
Tm 0.3329 0.6671 0.0000
Tm 0.6671 0.3329 0.0000
Se 0.4012 0.0615 0.1845
Se 0.7218 0.7218 0.1832
Se 0.2782 0.2782 0.8168
Se 0.5988 0.9385 0.8155
Se 0.9385 0.5988 0.8155
Se 0.0615 0.4012 0.1845
Cs 0.8359 0.1641 0.5000
Cs 0.1641 0.8359 0.5000
Cs 0.5000 0.5000 0.5000
Cd 0.0000 0.0000 0.0000

(7)
Material: DyYHo2
Method: DFT, GGA-PBE
State: relaxed

Computed properties:
total magnetization = 0.280 μB per formula unit
theoretical density = 7.55 Mg/m³
energy of formation = 0.142 eV per atom

Cell: 5.6553 5.6553 5.6553 Å, 60.00 60.00 60.00°
Sites, in units of the cell vectors:
Y 0.5000 0.5000 0.5000
Ho 0.2500 0.2500 0.2500
Ho 0.7500 0.7500 0.7500
Dy 0.0000 0.0000 0.0000

(8)
Material: Ca4PmCd5
Method: DFT, GGA-PBE
State: relaxed

Computed properties:
total magnetization = 0.190 μB per formula unit
theoretical density = 5.10 Mg/m³
energy of formation = -0.351 eV per atom

Cell: 3.8313 3.8313 19.2351 Å, 90.00 90.00 90.00°
Sites, in units of the cell vectors:
Cd 0.5000 0.5000 0.9007
Cd 0.5000 0.5000 0.0993
Cd 0.5000 0.5000 0.5000
Cd 0.5000 0.5000 0.3000
Cd 0.5000 0.5000 0.7000
Ca 0.0000 0.0000 0.7998
Ca 0.0000 0.0000 0.2002
Ca 0.0000 0.0000 0.3996
Ca 0.0000 0.0000 0.6004
Pm 0.0000 0.0000 0.0000

(9)
Material: Pm3Pr4In2
Method: DFT, GGA-PBE
State: relaxed

Computed properties:
total magnetization = 0.000 μB per formula unit
theoretical density = 6.85 Mg/m³
energy of formation = -0.185 eV per atom

Cell: 5.4980 6.9481 9.8339 Å, 60.12 73.81 66.70°
Sites, in units of the cell vectors:
In 0.2086 0.9006 0.6827
In 0.7914 0.0994 0.3173
Pr 0.1198 0.4164 0.3444
Pr 0.8802 0.5836 0.6556
Pr 0.3312 0.3748 0.9626
Pr 0.6688 0.6252 0.0374
Pm 0.0000 0.0000 0.0000
Pm 0.4200 0.8071 0.3527
Pm 0.5800 0.1929 0.6473

(10)
Material: AlTcMo2
Method: DFT, GGA-PBE
State: relaxed

Computed properties:
total magnetization = 0.000 μB per formula unit
theoretical density = 8.74 Mg/m³
energy of formation = -0.226 eV per atom

Cell: 5.2007 5.2007 5.2007 Å, 144.76 131.43 61.42°
Sites, in units of the cell vectors:
Mo 0.5081 0.5081 0.0000
Mo 0.9919 0.9919 0.0000
Al 0.2500 0.7500 0.5000
Tc 0.7500 0.2500 0.5000

(11)
Material: Ca3GaSi
Method: DFT, GGA-PBE
State: relaxed

Computed properties:
total magnetization = 0.000 μB per formula unit
theoretical density = 2.04 Mg/m³
uncorrected formation energy = -0.06 eV per atom

Cell: 5.6244 5.6244 5.6244 Å, 90.00 90.00 90.00°
Sites, in units of the cell vectors:
Ga 0.5000 0.5000 0.5000
Ca 0.0000 0.5000 0.0000
Ca 0.0000 0.0000 0.5000
Ca 0.5000 0.0000 0.0000
Si 0.0000 0.0000 0.0000

(12)
Material: Hf12Ta5Ga3
Method: DFT, GGA-PBE
State: relaxed

Computed properties:
total magnetization = 4.816 μB per formula unit
theoretical density = 10.51 Mg/m³
energy of formation = 1.217 eV per atom

Cell: 13.8767 13.8767 13.8767 Å, 109.47 109.47 109.47°
Sites, in units of the cell vectors:
Hf 0.5867 0.7251 0.6608
Hf 0.6608 0.4356 0.5741
Hf 0.2749 0.4133 0.8392
Hf 0.8392 0.9133 0.2749
Hf 0.9356 0.5741 0.1608
Hf 0.0741 0.9133 0.1384
Hf 0.9133 0.0741 0.6384
Hf 0.3392 0.5644 0.4259
Hf 0.0644 0.4259 0.8392
Hf 0.1608 0.0867 0.7251
Hf 0.4356 0.6608 0.0741
Hf 0.7749 0.3392 0.9133
Hf 0.6384 0.0644 0.2251
Hf 0.6608 0.2251 0.5867
Hf 0.8616 0.2749 0.4356
Hf 0.5644 0.2251 0.1384
Hf 0.5867 0.8616 0.4259
Hf 0.4133 0.1384 0.5741
Hf 0.1384 0.4133 0.0741
Hf 0.2251 0.6608 0.0867
Hf 0.2749 0.8616 0.9356
Hf 0.0867 0.9259 0.3616
Hf 0.5741 0.6384 0.4133
Hf 0.7251 0.5867 0.1608
Hf 0.8392 0.9259 0.0644
Hf 0.4259 0.3616 0.5867
Hf 0.1608 0.0741 0.9356
Hf 0.6384 0.5741 0.9133
Hf 0.3616 0.9356 0.7749
Hf 0.2251 0.5644 0.6384
Hf 0.7251 0.1384 0.0644
Hf 0.0741 0.1608 0.4356
Hf 0.9259 0.8392 0.5644
Hf 0.5741 0.9356 0.6608
Hf 0.7749 0.4356 0.3616
Hf 0.0867 0.1608 0.2251
Hf 0.4356 0.7749 0.8616
Hf 0.0644 0.6384 0.7251
Hf 0.4133 0.2749 0.3392
Hf 0.9356 0.3616 0.2749
Hf 0.5644 0.3392 0.9259
Hf 0.1384 0.7251 0.5644
Hf 0.9133 0.8392 0.7749
Hf 0.3616 0.4259 0.0867
Hf 0.4259 0.0644 0.3392
Hf 0.8616 0.5867 0.9259
Hf 0.9259 0.0867 0.8616
Hf 0.3392 0.7749 0.4133
Ta 0.7500 0.6250 0.3750
Ta 0.7500 0.1250 0.8750
Ta 0.0000 0.5000 0.5000
Ta 0.1250 0.3750 0.2500
Ta 0.6250 0.7500 0.8750
Ta 0.3750 0.2500 0.1250
Ta 0.2500 0.3750 0.6250
Ta 0.5000 0.5000 0.5000
Ta 0.5000 0.0000 0.5000
Ta 0.1250 0.7500 0.3750
Ta 0.5000 0.0000 0.0000
Ta 0.0000 0.5000 0.0000
Ta 0.0000 0.0000 0.5000
Ta 0.2500 0.8750 0.1250
Ta 0.8750 0.2500 0.6250
Ta 0.0000 0.0000 0.0000
Ta 0.8750 0.6250 0.7500
Ta 0.5000 0.5000 0.0000
Ta 0.3750 0.1250 0.7500
Ta 0.6250 0.8750 0.2500
Ga 0.1250 0.8750 0.7500
Ga 0.3750 0.7500 0.6250
Ga 0.7500 0.3750 0.1250
Ga 0.7500 0.8750 0.6250
Ga 0.3750 0.6250 0.2500
Ga 0.8750 0.7500 0.1250
Ga 0.8750 0.1250 0.2500
Ga 0.6250 0.3750 0.7500
Ga 0.1250 0.2500 0.8750
Ga 0.6250 0.2500 0.3750
Ga 0.2500 0.1250 0.3750
Ga 0.2500 0.6250 0.8750